TaAl2CrPt (PBE, optimized geometry); calculated formation energy = 83.8 kJ per mole of atoms; density = 8.3 Mg/m³; total magnetization = 0.49 μB per cell; SG = No. 123
1.0
4.542 0.000 0.000
0.000 4.542 0.000
0.000 0.000 4.688
Ta Al Cr Pt
1 2 1 1
Cartesian
0.000 0.000 0.000
0.000 2.271 2.344
2.271 0.000 2.344
2.271 2.271 0.000
2.271 2.271 2.344